A plane-wave DFT calculation with PBE-GGA was carried out for crystalline AcHf2PdN4 at its relaxed geometry.

Calculated values
uncorrected formation energy: -1.054 eV per atom

abc: 5.956 5.956 11.691
angles: 90.00 90.00 147.42
Fractional positions:
Ac 0.112 0.888 0.750
Ac 0.888 0.112 0.250
Hf 0.367 0.633 0.551
Hf 0.367 0.633 0.949
Hf 0.633 0.367 0.051
Hf 0.633 0.367 0.449
Pd 0.153 0.847 0.250
Pd 0.847 0.153 0.750
N 0.000 0.000 0.000
N 0.000 0.000 0.500
N 0.264 0.736 0.098
N 0.264 0.736 0.402
N 0.452 0.548 0.750
N 0.548 0.452 0.250
N 0.736 0.264 0.598
N 0.736 0.264 0.902

A plane-wave DFT calculation with PBE-GGA was carried out for crystalline Ac2PuHfN6 at its relaxed geometry.

Calculated values
uncorrected formation energy: -1.132 eV per atom

abc: 6.014 5.923 10.330
angles: 90.00 125.55 90.00
Fractional positions:
Ac 0.246 0.001 0.250
Ac 0.246 0.499 0.750
Ac 0.754 0.501 0.250
Ac 0.754 0.999 0.750
Pu 0.000 0.000 0.500
Pu 0.000 0.500 0.000
Hf 0.500 0.000 0.000
Hf 0.500 0.500 0.500
N 0.206 0.247 0.463
N 0.206 0.253 0.963
N 0.210 0.743 0.963
N 0.210 0.757 0.463
N 0.314 0.001 0.745
N 0.314 0.499 0.245
N 0.686 0.501 0.755
N 0.686 0.999 0.255
N 0.790 0.243 0.537
N 0.790 0.257 0.037
N 0.794 0.747 0.037
N 0.794 0.753 0.537

A plane-wave DFT calculation with PBE-GGA was carried out for crystalline AcHfS2N at its relaxed geometry.

Calculated values
uncorrected formation energy: -1.494 eV per atom

abc: 5.006 5.006 4.168
angles: 90.00 90.00 90.00
Fractional positions:
Ac 0.000 0.000 0.000
Hf 0.500 0.500 0.530
S 0.000 0.500 0.487
S 0.500 0.000 0.487
N 0.500 0.500 0.010

A plane-wave DFT calculation with PBE-GGA was carried out for crystalline Ac2HfS2N2 at its relaxed geometry.

Calculated values
uncorrected formation energy: -1.897 eV per atom

abc: 8.181 8.181 8.181
angles: 149.34 149.34 43.91
Fractional positions:
Ac 0.120 0.120 0.000
Ac 0.880 0.880 0.000
Hf 0.500 0.500 0.000
S 0.326 0.326 0.000
S 0.674 0.674 0.000
N 0.000 0.500 0.500
N 0.500 0.000 0.500

A plane-wave DFT calculation with PBE-GGA was carried out for crystalline Ac2HfSe2N2 at its relaxed geometry.

Calculated values
uncorrected formation energy: -1.803 eV per atom

abc: 8.516 8.516 8.516
angles: 150.33 150.33 42.46
Fractional positions:
Ac 0.114 0.114 0.000
Ac 0.886 0.886 0.000
Hf 0.500 0.500 0.000
Se 0.325 0.325 0.000
Se 0.675 0.675 0.000
N 0.000 0.500 0.500
N 0.500 0.000 0.500

A plane-wave DFT calculation with PBE-GGA was carried out for crystalline Ac2HfSi2N6 at its relaxed geometry.

Calculated values
uncorrected formation energy: -1.186 eV per atom

abc: 6.542 6.542 6.542
angles: 52.21 52.21 52.21
Fractional positions:
Ac 0.215 0.215 0.215
Ac 0.785 0.785 0.785
Hf 0.000 0.000 0.000
Si 0.417 0.417 0.417
Si 0.583 0.583 0.583
N 0.249 0.750 0.750
N 0.250 0.250 0.751
N 0.250 0.751 0.250
N 0.750 0.249 0.750
N 0.750 0.750 0.249
N 0.751 0.250 0.250

A plane-wave DFT calculation with PBE-GGA was carried out for crystalline AcSmHfN3 at its relaxed geometry.

Calculated values
uncorrected formation energy: -1.187 eV per atom

abc: 7.117 3.548 9.709
angles: 90.00 91.67 90.00
Fractional positions:
Ac 0.147 0.250 0.201
Ac 0.853 0.750 0.799
Sm 0.373 0.750 0.869
Sm 0.627 0.250 0.131
Hf 0.163 0.250 0.564
Hf 0.837 0.750 0.436
N 0.135 0.750 0.446
N 0.177 0.250 0.772
N 0.360 0.750 0.108
N 0.640 0.250 0.892
N 0.823 0.750 0.228
N 0.865 0.250 0.554

A plane-wave DFT calculation with PBE-GGA was carried out for crystalline Ac2HfSnN5 at its relaxed geometry.

Calculated values
uncorrected formation energy: -0.799 eV per atom

abc: 7.594 7.594 10.980
angles: 90.00 90.00 153.28
Fractional positions:
Ac 0.121 0.879 0.500
Ac 0.131 0.869 0.075
Ac 0.869 0.131 0.575
Ac 0.879 0.121 0.000
Hf 0.226 0.774 0.793
Hf 0.774 0.226 0.293
Sn 0.486 0.514 0.268
Sn 0.514 0.486 0.768
N 0.071 0.929 0.836
N 0.283 0.717 0.427
N 0.293 0.707 0.168
N 0.369 0.631 0.800
N 0.498 0.502 0.078
N 0.502 0.498 0.578
N 0.631 0.369 0.300
N 0.707 0.293 0.668
N 0.717 0.283 0.927
N 0.929 0.071 0.336